# 1
Zr4CoRu2 | Alexandria | PBE | relaxed; DOS at the Fermi energy = 0.60 states/eV per atom; total magnetization = 0.0 μB/cell; calculated total energy = -0.65587 Ry per atom; space-group type = R-3m, No. 166
1.0
-4.120 -1.282 1.460
-1.220 -4.385 -0.187
0.972 -2.946 7.260
Ru Co Zr
2 1 4
direct
0.748 0.748 0.756
0.252 0.252 0.244
0.000 0.000 0.000
0.873 0.873 0.380
0.127 0.127 0.620
0.623 0.623 0.131
0.377 0.377 0.869

***

# 2
ZrCo2Ru | Alexandria | PBE | relaxed; DOS at the Fermi energy = 1.16 states/eV per atom; total magnetization = 2.6 μB/cell; E above lowest polymorph = 0.146 eV/atom; calculated total energy = -0.58680 Ry per atom; space-group type = P4/mmm, No. 123
1.0
-1.429 -2.680 -1.079
2.196 -0.226 -2.349
3.231 -3.058 3.317
Co Ru Zr
2 1 1
direct
0.000 0.000 0.027
0.000 0.000 0.473
0.500 0.500 0.250
0.500 0.500 0.750

***

# 3
Zr2CoRu | Alexandria | PBE | relaxed; DOS at the Fermi energy = 0.76 states/eV per atom; total magnetization = 0.0 μB/cell; calculated total energy = -0.60366 Ry per atom; space-group type = R3m, No. 160
1.0
7.100 -0.111 -0.067
6.221 3.423 -0.067
6.221 1.546 3.054
Co Ru Zr
1 1 2
direct
0.488 0.488 0.488
0.767 0.767 0.767
0.023 0.023 0.023
0.223 0.223 0.223

***

# 4
Zr2CoRu | Alexandria | PBE | relaxed; DOS at the Fermi energy = 0.86 states/eV per atom; total magnetization = 0.8 μB/cell; calculated total energy = -0.64799 Ry per atom; space-group type = P4/mmm, No. 123
1.0
3.242 0.000 0.000
0.000 3.242 0.000
0.000 0.000 6.452
Zr Co Ru
2 1 1
direct
0.500 0.000 0.256
0.500 0.000 0.744
0.000 0.500 0.500
0.000 0.500 0.000

***

# 5
Zr4CoRu3 | Alexandria | PBE | relaxed; DOS at the Fermi energy = 0.57 states/eV per atom; total magnetization = 1.1 μB/cell; calculated total energy = -0.67503 Ry per atom; space-group type = P4/mmm, No. 123
1.0
3.254 0.000 0.000
0.000 3.254 0.000
0.000 0.000 13.075
Ru Co Zr
3 1 4
direct
0.500 0.500 0.248
0.500 0.500 0.500
0.500 0.500 0.752
0.500 0.500 0.000
0.000 0.000 0.879
0.000 0.000 0.121
0.000 0.000 0.373
0.000 0.000 0.627

***

# 6
ZrCo2Ru | Alexandria | PBE | relaxed; DOS at the Fermi energy = 1.28 states/eV per atom; total magnetization = 0.9 μB/cell; E above lowest polymorph = 0.235 eV/atom; calculated total energy = -0.58029 Ry per atom; space-group type = P4/mmm, No. 123
1.0
2.781 0.019 0.000
-0.019 2.781 0.000
0.000 0.000 7.256
Co Ru Zr
2 1 1
direct
0.000 0.000 0.027
0.000 0.000 0.473
0.500 0.500 0.250
0.500 0.500 0.750

***

# 7
Zr2CoRu | Alexandria | PBE | relaxed; DOS at the Fermi energy = 0.87 states/eV per atom; total magnetization = 0.0 μB/cell; calculated total energy = -0.64062 Ry per atom; space-group type = Amm2, No. 38
1.0
-1.405 4.977 0.286
-3.987 3.232 -0.698
-1.185 -0.572 4.123
Co Ru Zr
1 1 2
direct
0.464 0.464 0.625
0.287 0.287 0.125
0.017 0.017 0.125
0.732 0.732 0.625

***

# 8
ZrCo2Ru | Alexandria | PBE | relaxed; DOS at the Fermi energy = 1.54 states/eV per atom; total magnetization = 5.9 μB/cell; E above lowest polymorph = 0.466 eV/atom; calculated total energy = -0.56332 Ry per atom; space-group type = I-42d, No. 122
1.0
3.722 0.000 0.000
0.000 3.722 0.000
1.861 1.861 9.161
Ru Co Zr
2 4 2
direct
0.000 0.000 0.000
0.750 0.250 0.500
0.690 0.125 0.250
0.060 0.625 0.250
0.375 0.310 0.750
0.875 0.940 0.750
0.500 0.500 0.000
0.250 0.750 0.500